An optimized crystal structure of K3Rb5Na, computed with GGA-PBE.

## Properties
total magnetization	0.0	μB per formula unit
ΔE_f	19	meV per atom
symmetry	P-62m, No. 189
V	705.9	Å³/cell

Geometry as POSCAR:
```
K3Rb5Na
1.0
12.9009 0.0000 0.0000
-6.4505 11.1725 0.0000
0.0000 0.0000 4.8971
K Rb Na
3 5 1
direct
0.0000 0.6403 0.0000
0.3597 0.3597 0.0000
0.6403 0.0000 0.0000
0.0000 0.2706 0.5000
0.2706 0.0000 0.5000
0.3333 0.6667 0.5000
0.6667 0.3333 0.5000
0.7294 0.7294 0.5000
0.0000 0.0000 0.0000
```

An optimized crystal structure of K6RbNa4, computed with GGA-PBE.

## Properties
total magnetization	0.0	μB per formula unit
ΔE_f	25	meV per atom
symmetry	P1, No. 1
V	658.8	Å³/cell

Geometry as POSCAR:
```
K6RbNa4
1.0
8.0084 0.0000 0.0000
-3.6222 7.1433 0.0000
-2.0808 -3.4025 11.5169
K Rb Na
6 1 4
direct
0.0000 0.0000 0.0000
0.0098 0.6618 0.6481
0.3776 0.9379 0.2848
0.5532 0.5529 0.1067
0.6619 0.0100 0.6484
0.9378 0.3777 0.2847
0.3715 0.3716 0.7299
0.4812 0.4816 0.4151
0.4828 0.9859 0.9538
0.9495 0.9501 0.4074
0.9862 0.4829 0.9537
```

An optimized crystal structure of KRb14Na, computed with GGA-PBE.

## Properties
total magnetization	0.0	μB per formula unit
ΔE_f	15	meV per atom
symmetry	Cmmm, No. 65
V	1371.7	Å³/cell

Geometry as POSCAR:
```
KRb14Na
1.0
7.2103 -7.2154 0.0000
7.2103 7.2154 0.0000
0.0000 0.0000 13.1834
K Rb Na
1 14 1
direct
0.0000 0.0000 0.0000
0.0000 0.0000 0.5000
0.0000 0.5000 0.0000
0.0000 0.5000 0.5000
0.2558 0.2558 0.2353
0.2558 0.2558 0.7647
0.2559 0.7441 0.2352
0.2559 0.7441 0.7648
0.5000 0.0000 0.0000
0.5000 0.0000 0.5000
0.5000 0.5000 0.5000
0.7441 0.2559 0.2352
0.7441 0.2559 0.7648
0.7442 0.7442 0.2353
0.7442 0.7442 0.7647
0.5000 0.5000 0.0000
```

An optimized crystal structure of K5Rb8Na, computed with GGA-PBE.

## Properties
total magnetization	0.0	μB per formula unit
ΔE_f	44	meV per atom
symmetry	I-4, No. 82
V	1158.7	Å³/cell

Geometry as POSCAR:
```
K5Rb8Na
1.0
-6.8328 6.8328 6.2043
6.8328 -6.8328 6.2043
6.8328 6.8328 -6.2043
K Rb Na
5 8 1
direct
0.0000 0.0000 0.0000
0.2146 0.2879 0.7644
0.5235 0.4502 0.2356
0.5498 0.7854 0.0733
0.7121 0.4765 0.9267
0.1448 0.5296 0.1033
0.4009 0.0911 0.3679
0.4263 0.0415 0.8967
0.4704 0.5737 0.6152
0.7232 0.0330 0.6321
0.9089 0.2768 0.3098
0.9585 0.8552 0.3848
0.9670 0.5991 0.6902
0.2500 0.7500 0.5000
```

An optimized crystal structure of K7Rb16Na6, computed with GGA-PBE.

## Properties
total magnetization	0.0	μB per formula unit
ΔE_f	105	meV per atom
symmetry	Fm-3m, No. 225
V	2450.0	Å³/cell

Geometry as POSCAR:
```
K7Rb16Na6
1.0
0.0000 10.6999 10.6999
10.6999 0.0000 10.6999
10.6999 10.6999 0.0000
K Rb Na
7 16 6
direct
0.0000 0.0000 0.0000
0.0000 0.0000 0.5000
0.0000 0.5000 0.0000
0.0000 0.5000 0.5000
0.5000 0.0000 0.0000
0.5000 0.0000 0.5000
0.5000 0.5000 0.0000
0.0667 0.6444 0.6444
0.1211 0.1211 0.1211
0.1211 0.1211 0.6367
0.1211 0.6367 0.1211
0.3556 0.3556 0.3556
0.3556 0.3556 0.9333
0.3556 0.9333 0.3556
0.3633 0.8789 0.8789
0.6367 0.1211 0.1211
0.6444 0.0667 0.6444
0.6444 0.6444 0.0667
0.6444 0.6444 0.6444
0.8789 0.3633 0.8789
0.8789 0.8789 0.3633
0.8789 0.8789 0.8789
0.9333 0.3556 0.3556
0.3756 0.3756 0.6244
0.3756 0.6244 0.3756
0.3756 0.6244 0.6244
0.6244 0.3756 0.3756
0.6244 0.3756 0.6244
0.6244 0.6244 0.3756
```

An optimized crystal structure of K3Rb8Na2, computed with GGA-PBE.

## Properties
total magnetization	0.0	μB per formula unit
ΔE_f	48	meV per atom
symmetry	C2/m, No. 12
V	1061.9	Å³/cell

Geometry as POSCAR:
```
K3Rb8Na2
1.0
9.7826 -6.3503 0.0000
9.7826 6.3503 0.0000
-1.1147 0.0000 8.5469
K Rb Na
3 8 2
direct
0.0000 0.0000 0.0000
0.1690 0.8310 0.5000
0.8310 0.1690 0.5000
0.1769 0.5620 0.0699
0.1962 0.1962 0.3341
0.4051 0.4051 0.6329
0.4380 0.8231 0.9301
0.5620 0.1769 0.0699
0.5949 0.5949 0.3671
0.8038 0.8038 0.6659
0.8231 0.4380 0.9301
0.1917 0.1917 0.8160
0.8083 0.8083 0.1840
```

An optimized crystal structure of K2RbNa5, computed with GGA-PBE.

## Properties
total magnetization	0.0	μB per formula unit
ΔE_f	41	meV per atom
symmetry	Cm, No. 8
V	412.1	Å³/cell

Geometry as POSCAR:
```
K2RbNa5
1.0
6.7873 -4.4761 0.0000
6.7873 4.4761 0.0000
-5.8423 0.0000 6.7819
K Rb Na
2 1 5
direct
0.0000 0.0000 0.0000
0.5001 0.5001 0.4966
0.9217 0.9217 0.4213
0.0320 0.4523 0.9507
0.0357 0.4531 0.5341
0.4523 0.0320 0.9507
0.4531 0.0357 0.5341
0.5136 0.5136 0.0106
```

An optimized crystal structure of K5Rb5Na2, computed with GGA-PBE.

## Properties
total magnetization	0.0	μB per formula unit
ΔE_f	22	meV per atom
symmetry	C2/m, No. 12
V	875.4	Å³/cell

Geometry as POSCAR:
```
K5Rb5Na2
1.0
8.2432 -3.6652 0.0000
8.2432 3.6652 0.0000
-0.1295 0.0000 14.4867
K Rb Na
5 5 2
direct
0.0000 0.0000 0.0000
0.1794 0.1794 0.7510
0.3059 0.3059 0.4526
0.6941 0.6941 0.5474
0.8206 0.8206 0.2490
0.0000 0.0000 0.5000
0.3347 0.3347 0.0230
0.4679 0.4679 0.7306
0.5321 0.5321 0.2694
0.6653 0.6653 0.9770
0.1557 0.1557 0.2281
0.8443 0.8443 0.7719
```

An optimized crystal structure of K16RbNa12, computed with GGA-PBE.

## Properties
total magnetization	0.0	μB per formula unit
ΔE_f	19	meV per atom
symmetry	Cm, No. 8
V	1651.2	Å³/cell

Geometry as POSCAR:
```
K16RbNa12
1.0
7.4504 -10.5454 0.0000
7.4504 10.5454 0.0000
-7.3386 0.0000 10.5080
K Rb Na
16 1 12
direct
0.0000 0.0000 0.0000
0.9997 0.3464 0.6509
0.0004 0.5943 0.9662
0.0022 0.0022 0.6541
0.2802 0.6885 0.3384
0.3122 0.5979 0.6545
0.3151 0.9989 0.2452
0.3464 0.9997 0.6509
0.4059 0.7176 0.0583
0.5943 0.0004 0.9662
0.5979 0.3122 0.6545
0.6639 0.6639 0.3099
0.6855 0.6855 0.9304
0.6885 0.2802 0.3384
0.7176 0.4059 0.0583
0.9989 0.3151 0.2452
0.4093 0.4093 0.3721
0.0005 0.6413 0.4721
0.0018 0.8217 0.2913
0.1770 0.3585 0.0062
0.1781 0.1781 0.4733
0.1808 0.8210 0.8330
0.3585 0.1770 0.0062
0.3604 0.3604 0.8308
0.6413 0.0005 0.4721
0.6434 0.8254 0.6552
0.8210 0.1808 0.8330
0.8217 0.0018 0.2913
0.8254 0.6434 0.6552
```

An optimized crystal structure of KRb9Na3, computed with GGA-PBE.

## Properties
total magnetization	0.0	μB per formula unit
ΔE_f	43	meV per atom
symmetry	C2/m, No. 12
V	1004.3	Å³/cell

Geometry as POSCAR:
```
KRb9Na3
1.0
4.1930 -11.1533 0.0000
4.1930 11.1533 0.0000
-3.8903 0.0000 10.7372
K Rb Na
1 9 3
direct
0.0000 0.0000 0.0000
0.0000 0.0000 0.5000
0.0167 0.6631 0.6697
0.3091 0.5234 0.7944
0.3369 0.9833 0.3303
0.4766 0.6909 0.2056
0.5234 0.3091 0.7944
0.6631 0.0167 0.6697
0.6909 0.4766 0.2056
0.9833 0.3369 0.3303
0.0000 0.5000 0.0000
0.5000 0.0000 0.0000
0.5000 0.5000 0.5000
```

An optimized crystal structure of K6Rb2Na, computed with GGA-PBE.

## Properties
total magnetization	0.0	μB per formula unit
ΔE_f	31	meV per atom
symmetry	C2/c, No. 15
V	1321.2	Å³/cell

Geometry as POSCAR:
```
K6Rb2Na
1.0
9.6687 -9.1271 0.0000
9.6687 9.1271 0.0000
-2.6954 0.0000 7.4859
K Rb Na
12 4 2
direct
0.1134 0.4937 0.2737
0.1383 0.7321 0.9197
0.2679 0.8617 0.5803
0.3239 0.4455 0.7597
0.4455 0.3239 0.2597
0.4937 0.1134 0.7737
0.5063 0.8866 0.2263
0.5545 0.6761 0.7403
0.6761 0.5545 0.2403
0.7321 0.1383 0.4197
0.8617 0.2679 0.0803
0.8866 0.5063 0.7263
0.0789 0.1982 0.6693
0.1982 0.0789 0.1693
0.8018 0.9211 0.8307
0.9211 0.8018 0.3307
0.3742 0.6258 0.2500
0.6258 0.3742 0.7500
```

An optimized crystal structure of K5Rb7Na, computed with GGA-PBE.

## Properties
total magnetization	0.0	μB per formula unit
ΔE_f	36	meV per atom
symmetry	Cm, No. 8
V	1045.2	Å³/cell

Geometry as POSCAR:
```
K5Rb7Na
1.0
10.1404 -7.2105 0.0000
10.1404 7.2105 0.0000
-2.6512 0.0000 7.1474
K Rb Na
5 7 1
direct
0.0000 0.0000 0.0000
0.2196 0.8731 0.5501
0.2359 0.6173 0.9426
0.6173 0.2359 0.9426
0.8731 0.2196 0.5501
0.0602 0.3886 0.2233
0.3886 0.0602 0.2233
0.4527 0.4527 0.4690
0.5804 0.8852 0.7299
0.6126 0.6126 0.1178
0.8513 0.8513 0.3465
0.8852 0.5804 0.7299
0.2440 0.2440 0.7427
```

- Among the records above, which one has the highest V?
  K7Rb16Na6

- V of number 2 (K6RbNa4)?
  658.8 Å³/cell